1.
This record from Alexandria describes a geometry-optimized K9AuI3O2 structure. The functional is PBE.

Cell lengths 7.9083, 7.9083, 10.4869 Å; angles 90.00, 90.00, 120.00 degrees
Space group P-3m1 (No. 164)
One atom of each set of equivalent atoms:
K1 0.0000 0.5000 0.0000 [3 per cell]
K2 0.1786 0.3572 0.2914 [6 per cell]
Au1 0.0000 0.0000 0.5000 [1 per cell]
I1 0.0000 0.0000 0.0000 [1 per cell]
I2 0.3333 0.6667 0.7135 [2 per cell]
O1 0.3333 0.6667 0.1531 [2 per cell]

* ρ: 2.8 g cm⁻³
* formation energy from raw total energies: -1.0221 eV/atom

=====

2.
This record from Alexandria describes a geometry-optimized KAuI4O12 structure. The functional is PBE.

Cell lengths 5.957, 7.448, 8.226 Å; angles 104.88, 94.13, 112.53 degrees
Space group P1 (No. 1)
One atom of each set of equivalent atoms:
K1 0.000 0.000 0.000 [1 per cell]
Au1 0.229 0.996 0.486 [1 per cell]
I1 0.309 0.637 0.180 [1 per cell]
I2 0.314 0.695 0.703 [1 per cell]
I3 0.617 0.348 0.859 [1 per cell]
I4 0.694 0.298 0.349 [1 per cell]
O1 0.027 0.400 0.111 [1 per cell]
O2 0.081 0.769 0.591 [1 per cell]
O3 0.123 0.796 0.249 [1 per cell]
O4 0.171 0.692 0.892 [1 per cell]
O5 0.295 0.203 0.718 [1 per cell]
O6 0.357 0.222 0.377 [1 per cell]
O7 0.435 0.643 0.390 [1 per cell]
O8 0.491 0.331 0.053 [1 per cell]
O9 0.573 0.946 0.777 [1 per cell]
O10 0.629 0.598 0.866 [1 per cell]
O11 0.683 0.050 0.237 [1 per cell]
O12 0.833 0.333 0.566 [1 per cell]

* distance to the lowest polymorph of the same formula: 0 meV/atom
* ρ: 4.9 g cm⁻³
* formation energy from raw total energies: -0.4413 eV/atom

=====

3.
This record from Alexandria describes a geometry-optimized K12AuI4O3 structure. The functional is PBE.

Cell lengths 11.293, 11.293, 11.293 Å; angles 90.00, 90.00, 90.00 degrees
Space group Im-3m (No. 229)
One atom of each set of equivalent atoms:
K1 0.000 0.000 0.280 [12 per cell]
K2 0.000 0.250 0.500 [12 per cell]
Au1 0.000 0.000 0.000 [2 per cell]
I1 0.250 0.250 0.250 [8 per cell]
O1 0.000 0.000 0.500 [6 per cell]

* ρ: 2.8 g cm⁻³
* formation energy from raw total energies: -1.0723 eV/atom

=====

4.
This record from Alexandria describes a geometry-optimized KAuI4O12 structure. The functional is PBE.

Cell lengths 13.770, 5.804, 8.341 Å; angles 90.00, 108.32, 90.00 degrees
Space group C2 (No. 5)
One atom of each set of equivalent atoms:
K1 0.000 0.000 0.000 [2 per cell]
Au1 0.000 0.199 0.500 [2 per cell]
I1 0.148 0.505 0.339 [4 per cell]
I2 0.182 0.443 0.837 [4 per cell]
O1 0.023 0.592 0.204 [4 per cell]
O2 0.104 0.179 0.731 [4 per cell]
O3 0.113 0.199 0.392 [4 per cell]
O4 0.153 0.645 0.537 [4 per cell]
O5 0.196 0.319 0.045 [4 per cell]
O6 0.197 0.847 0.184 [4 per cell]

* distance to the lowest polymorph of the same formula: 3 meV/atom
* ρ: 4.9 g cm⁻³
* formation energy from raw total energies: -0.4388 eV/atom

=====

5.
This record from Alexandria describes a geometry-optimized K2PAuI structure. The functional is PBE.

Cell lengths 6.462, 6.462, 4.481 Å; angles 90.00, 90.00, 90.00 degrees
Space group P4/mmm (No. 123)
One atom of each set of equivalent atoms:
K1 0.000 0.500 0.000 [2 per cell]
P1 0.000 0.000 0.000 [1 per cell]
Au1 0.000 0.000 0.500 [1 per cell]
I1 0.500 0.500 0.500 [1 per cell]

* ρ: 3.8 g cm⁻³
* formation energy from raw total energies: -0.6481 eV/atom

=====

6.
This record from Alexandria describes a geometry-optimized K2PbAuI6 structure. The functional is PBE.

Cell lengths 7.606, 8.549, 8.851 Å; angles 118.60, 112.46, 92.24 degrees
Space group P1 (No. 1)
One atom of each set of equivalent atoms:
K1 0.000 0.000 0.000 [1 per cell]
K2 0.443 0.477 0.977 [1 per cell]
Pb1 0.747 0.160 0.540 [1 per cell]
Au1 0.258 0.669 0.557 [1 per cell]
I1 0.017 0.555 0.666 [1 per cell]
I2 0.117 0.987 0.618 [1 per cell]
I3 0.387 0.340 0.484 [1 per cell]
I4 0.537 0.781 0.481 [1 per cell]
I5 0.596 0.941 0.088 [1 per cell]
I6 0.911 0.404 0.005 [1 per cell]

* ρ: 4.6 g cm⁻³
* formation energy from raw total energies: -0.7395 eV/atom

=====

7.
This record from Alexandria describes a geometry-optimized K2PbAu2I6 structure. The functional is PBE.

Cell lengths 14.936, 8.800, 8.591 Å; angles 90.00, 121.53, 90.00 degrees
Space group C2/m (No. 12)
One atom of each set of equivalent atoms:
K1 0.250 0.000 0.209 [4 per cell]
Pb1 0.000 0.000 0.500 [2 per cell]
Au1 0.042 0.500 0.201 [4 per cell]
I1 0.072 0.244 0.829 [8 per cell]
I2 0.243 0.000 0.610 [4 per cell]

* ρ: 5.0 g cm⁻³
* formation energy from raw total energies: -0.6682 eV/atom

=====

8.
This record from Alexandria describes a geometry-optimized KPtAuI6 structure. The functional is PBE.

Cell lengths 7.121, 7.278, 8.123 Å; angles 94.70, 110.45, 106.65 degrees
Space group P1 (No. 1)
One atom of each set of equivalent atoms:
K1 0.000 0.000 0.000 [1 per cell]
Pt1 0.658 0.389 0.336 [1 per cell]
Au1 0.359 0.838 0.426 [1 per cell]
I1 0.354 0.211 0.457 [1 per cell]
I2 0.384 0.467 0.040 [1 per cell]
I3 0.576 0.043 0.126 [1 per cell]
I4 0.718 0.739 0.532 [1 per cell]
I5 0.951 0.330 0.630 [1 per cell]
I6 0.975 0.546 0.219 [1 per cell]

* ρ: 5.4 g cm⁻³
* formation energy from raw total energies: -0.3581 eV/atom